Record 1
The following is a PBE calculation of a relaxed Y2C crystal, from Alexandria via LeMat-Bulk.

abc: 6.005 6.075 3.616
angles: 90.00 90.00 90.00
Element x y z (fractional)
Y: 0.223 0.180 0.000
Y: 0.277 0.680 0.500
Y: 0.723 0.320 0.500
Y: 0.777 0.820 0.000
C: 0.000 0.000 0.500
C: 0.500 0.500 0.000

Its energy of formation from the pure elements is -0.195 eV/atom. Its crystal system is orthorhombic. The symmetry is Pnnm.

---

Record 2
The following is a PBE calculation of a relaxed NdSc7Tl4 crystal, from Alexandria via LeMat-Bulk.

abc: 7.055 7.055 10.648
angles: 120.89 120.89 44.67
Element x y z (fractional)
Nd: 0.000 0.000 0.000
Sc: 0.055 0.055 0.381
Sc: 0.218 0.218 0.880
Sc: 0.337 0.337 0.412
Sc: 0.500 0.500 0.000
Sc: 0.663 0.663 0.588
Sc: 0.782 0.782 0.120
Sc: 0.945 0.945 0.619
Tl: 0.303 0.303 0.674
Tl: 0.418 0.418 0.212
Tl: 0.582 0.582 0.788
Tl: 0.697 0.697 0.326

Its energy of formation from the pure elements is 0.019 eV/atom. Its crystal system is monoclinic. The symmetry is C2/m.

---

Record 3
The following is a PBE calculation of a relaxed TbMgZn11 crystal, from Alexandria via LeMat-Bulk.

abc: 6.809 6.809 6.848
angles: 98.82 98.82 133.47
Element x y z (fractional)
Tb: 0.000 0.000 0.000
Mg: 0.000 0.000 0.500
Zn: 0.000 0.500 0.000
Zn: 0.006 0.363 0.350
Zn: 0.289 0.507 0.787
Zn: 0.363 0.006 0.350
Zn: 0.493 0.711 0.213
Zn: 0.500 0.000 0.000
Zn: 0.500 0.500 0.500
Zn: 0.507 0.289 0.787
Zn: 0.637 0.994 0.650
Zn: 0.711 0.493 0.213
Zn: 0.994 0.637 0.650

Its energy of formation from the pure elements is -0.164 eV/atom. Its crystal system is monoclinic. The symmetry is C2/m.

---

Record 4
The following is a PBE calculation of a relaxed Sr5Te4S crystal, from Alexandria via LeMat-Bulk.

abc: 16.792 16.792 16.792
angles: 163.97 163.97 22.74
Element x y z (fractional)
Sr: 0.000 0.000 0.000
Sr: 0.200 0.200 0.000
Sr: 0.407 0.407 0.000
Sr: 0.593 0.593 0.000
Sr: 0.800 0.800 0.000
Te: 0.098 0.098 0.000
Te: 0.303 0.303 0.000
Te: 0.697 0.697 0.000
Te: 0.902 0.902 0.000
S: 0.500 0.500 0.000

Its crystal system is tetragonal. The symmetry is I4/mmm.

---

Record 5
The following is a PBE calculation of a relaxed CaTb6Pm6 crystal, from Alexandria via LeMat-Bulk.

abc: 6.795 6.795 11.443
angles: 90.00 90.00 120.00
Element x y z (fractional)
Ca: 0.000 0.000 0.000
Tb: 0.000 0.500 0.249
Tb: 0.000 0.500 0.751
Tb: 0.500 0.000 0.249
Tb: 0.500 0.000 0.751
Tb: 0.500 0.500 0.249
Tb: 0.500 0.500 0.751
Pm: 0.000 0.000 0.348
Pm: 0.000 0.000 0.652
Pm: 0.333 0.667 0.000
Pm: 0.333 0.667 0.500
Pm: 0.667 0.333 0.000
Pm: 0.667 0.333 0.500

Its energy of formation from the pure elements is 0.257 eV/atom. Its crystal system is hexagonal. The symmetry is P6/mmm.

---

Record 6
The following is a PBE calculation of a relaxed PaVGe crystal, from Alexandria via LeMat-Bulk.

abc: 4.097 4.097 13.985
angles: 90.00 90.00 90.00
Element x y z (fractional)
Pa: 0.000 0.000 0.159
Pa: 0.000 0.000 0.841
Pa: 0.500 0.500 0.341
Pa: 0.500 0.500 0.659
V: 0.000 0.500 0.000
V: 0.000 0.500 0.500
V: 0.500 0.000 0.000
V: 0.500 0.000 0.500
Ge: 0.000 0.000 0.379
Ge: 0.000 0.000 0.621
Ge: 0.500 0.500 0.121
Ge: 0.500 0.500 0.879

Its energy of formation from the pure elements is -0.299 eV/atom. Its crystal system is tetragonal. The symmetry is I4/mmm.

---

Record 7
The following is a PBE calculation of a relaxed OsSe2Cl crystal, from Alexandria via LeMat-Bulk.

abc: 2.850 2.850 35.547
angles: 90.00 90.00 120.00
Element x y z (fractional)
Os: 0.000 0.000 0.000
Os: 0.333 0.667 0.667
Os: 0.667 0.333 0.333
Se: 0.000 0.000 0.068
Se: 0.000 0.000 0.932
Se: 0.333 0.667 0.599
Se: 0.333 0.667 0.735
Se: 0.667 0.333 0.265
Se: 0.667 0.333 0.401
Cl: 0.000 0.000 0.500
Cl: 0.333 0.667 0.167
Cl: 0.667 0.333 0.833

As for the relative energy among the computed polymorphs: 1.87 eV per formula unit. Its crystal system is trigonal. The symmetry is R-3m.

---

Record 8
The following is a PBE calculation of a relaxed Tb2Nd5SmSc crystal, from Alexandria via LeMat-Bulk.

abc: 11.326 11.326 10.275
angles: 90.00 90.00 152.41
Element x y z (fractional)
Tb: 0.116 0.884 0.500
Tb: 0.117 0.883 0.001
Tb: 0.883 0.117 0.501
Tb: 0.884 0.116 0.000
Nd: 0.001 0.999 0.751
Nd: 0.278 0.722 0.563
Nd: 0.279 0.721 0.939
Nd: 0.374 0.626 0.251
Nd: 0.500 0.500 0.000
Nd: 0.500 0.500 0.500
Nd: 0.626 0.374 0.751
Nd: 0.721 0.279 0.439
Nd: 0.722 0.278 0.063
Nd: 0.999 0.001 0.251
Sm: 0.399 0.601 0.751
Sm: 0.601 0.399 0.251
Sc: 0.215 0.785 0.251
Sc: 0.785 0.215 0.751

Its energy of formation from the pure elements is 0.125 eV/atom. Its crystal system is orthorhombic. The symmetry is Cmc2_1.

---

Table of magnetization (μB/atom), in record order: 0.00, 0.05, 0.00, 0.00, 0.00, 0.00, 0.00, 0.00
Table of E_tot (eV/atom), in record order: -7.58, -4.86, -1.72, -4.30, -4.23, -8.04, -4.55, -4.78
Table of density (g/cm3), in record order: 4.8, 6.8, 7.1, 4.5, 6.8, 10.0, 7.6, 6.7